No. 1
Sr2BeGa | Alexandria | PBEsol | optimized geometry; electronic total energy = -10.64 eV/f.u.; spin magnetization = 0.00 Bohr magnetons per cell
1.0
5.3325 0.0000 0.0000
2.6663 4.6181 0.0000
2.6663 1.5394 4.3540
Sr Ga Be
2 1 1
Direct
0.2500 0.2500 0.2500 Sr
0.7500 0.7500 0.7500 Sr
0.5000 0.5000 0.5000 Ga
0.0000 0.0000 0.0000 Be



No. 2
SrBe2Ga2 | Alexandria | PBEsol | optimized geometry; electronic total energy = -17.32 eV/f.u.; spin magnetization = 0.00 Bohr magnetons per cell
1.0
-3.6229 -1.9128 0.0852
1.1496 -2.0272 3.3706
-0.6560 5.6829 1.1507
Sr Ga Be
1 2 2
Direct
0.0000 0.0000 0.0000 Sr
0.3686 0.3686 0.7372 Ga
0.6314 0.6314 0.2628 Ga
0.2500 0.7500 0.5000 Be
0.7500 0.2500 0.5000 Be



No. 3
Be2GaTc2 | Alexandria | PBEsol | optimized geometry; electronic total energy = -35.36 eV/f.u.; spin magnetization = 0.00 Bohr magnetons per cell
1.0
3.1519 0.0000 0.0000
0.0000 5.9266 0.0000
0.0000 0.0000 5.9266
Be Tc Ga
4 4 2
Direct
0.0000 0.3804 0.8804 Be
0.0000 0.8804 0.6196 Be
0.0000 0.6196 0.1196 Be
0.0000 0.1196 0.3804 Be
0.5000 0.1754 0.6754 Tc
0.5000 0.6754 0.8246 Tc
0.5000 0.8246 0.3246 Tc
0.5000 0.3246 0.1754 Tc
0.0000 0.0000 0.0000 Ga
0.0000 0.5000 0.5000 Ga



No. 4
BeGa3Te | Alexandria | PBEsol | optimized geometry; energy relative to the elements, uncorrected = 85 meV/atom; spin magnetization = 0.00 Bohr magnetons per cell
1.0
-4.1053 2.0003 0.3991
0.1575 -0.5834 4.5442
2.0337 4.0832 0.4538
Be Te Ga
1 1 3
Direct
0.0000 0.0000 0.0000 Be
0.5000 0.5000 0.5000 Te
0.0000 0.5000 0.0000 Ga
0.0000 0.0000 0.5000 Ga
0.5000 0.0000 0.0000 Ga